Record 1
First-principles (PBE) data for crystalline Ti2BePd8 at its relaxed geometry, as listed in the Alexandria database.

CIF file:
```
data_Ti2BePd8
_chemical_formula_sum 'Ti4 Be2 Pd16'
_cell_length_a 14.292
_cell_length_b 4.414
_cell_length_c 5.660
_cell_angle_alpha 90.00
_cell_angle_beta 113.21
_cell_angle_gamma 90.00
_symmetry_space_group_name_H-M 'C 1 2/m 1'
_symmetry_Int_Tables_number 12
loop_
_symmetry_equiv_pos_as_xyz
'x,y,z'
'-x,-y,-z'
'-x,y,-z'
'x,-y,z'
'x+1/2,y+1/2,z'
'-x+1/2,-y+1/2,-z'
'-x+1/2,y+1/2,-z'
'x+1/2,-y+1/2,z'
loop_
_atom_site_label
_atom_site_fract_x
_atom_site_fract_y
_atom_site_fract_z
_atom_site_occupancy
Ti1 0.186 0.000 0.186 1
Be1 0.000 0.500 0.500 1
Pd1 0.001 0.000 0.247 1
Pd2 0.131 0.500 0.889 1
Pd3 0.132 0.500 0.377 1
Pd4 0.186 0.000 0.688 1
```

Results
**Energy of formation**: -0.5085 eV/atom
**E_tot**: -6.06 eV per atom
**Density**: 9.68 g/cm³

=====

Record 2
First-principles (PBE) data for crystalline Ti5Be2Pd12 at its relaxed geometry, as listed in the Alexandria database.

CIF file:
```
data_Ti5Be2Pd12
_chemical_formula_sum 'Ti10 Be4 Pd24'
_cell_length_a 14.236
_cell_length_b 5.671
_cell_length_c 7.208
_cell_angle_alpha 90.00
_cell_angle_beta 101.56
_cell_angle_gamma 90.00
_symmetry_space_group_name_H-M 'C 1 2/m 1'
_symmetry_Int_Tables_number 12
loop_
_symmetry_equiv_pos_as_xyz
'x,y,z'
'-x,-y,-z'
'-x,y,-z'
'x,-y,z'
'x+1/2,y+1/2,z'
'-x+1/2,-y+1/2,-z'
'-x+1/2,y+1/2,-z'
'x+1/2,-y+1/2,z'
loop_
_atom_site_label
_atom_site_fract_x
_atom_site_fract_y
_atom_site_fract_z
_atom_site_occupancy
Ti1 0.000 0.000 0.000 1
Ti2 0.179 0.500 0.716 1
Ti3 0.234 0.000 0.740 1
Be1 0.000 0.316 0.500 1
Pd1 0.001 0.500 0.803 1
Pd2 0.051 0.000 0.685 1
Pd3 0.151 0.239 0.413 1
Pd4 0.155 0.245 0.015 1
```

Results
**Energy of formation**: -0.4960 eV/atom
**E_tot**: -6.25 eV per atom
**Density**: 8.94 g/cm³

=====

Record 3
First-principles (PBE) data for crystalline TiBePd at its relaxed geometry, as listed in the Alexandria database.

CIF file:
```
data_TiBePd
_chemical_formula_sum 'Ti6 Be6 Pd6'
_cell_length_a 11.247
_cell_length_b 3.265
_cell_length_c 6.492
_cell_angle_alpha 90.00
_cell_angle_beta 90.00
_cell_angle_gamma 90.00
_symmetry_space_group_name_H-M 'P m m a'
_symmetry_Int_Tables_number 51
loop_
_symmetry_equiv_pos_as_xyz
'x,y,z'
'-x,-y,-z'
'-x+1/2,-y,z'
'x+1/2,y,-z'
'x+1/2,-y,-z'
'-x+1/2,y,z'
'-x,y,-z'
'x,-y,z'
loop_
_atom_site_label
_atom_site_fract_x
_atom_site_fract_y
_atom_site_fract_z
_atom_site_occupancy
Ti1 0.041 0.000 0.229 1
Ti2 0.250 0.000 0.847 1
Be1 0.092 0.500 0.947 1
Be2 0.250 0.000 0.439 1
Pd1 0.121 0.500 0.576 1
Pd2 0.250 0.500 0.191 1
```

Results
**Energy of formation**: -0.4728 eV/atom
**Energy above the lowest structure with this stoichiometry**: 0 meV/atom
**E_tot**: -6.08 eV per atom
**Density**: 6.83 g/cm³